[1]
This record from Alexandria describes crystalline BaTeO4 at its relaxed geometry. The functional is PBE-GGA.

Results
The uncorrected formation energy comes out at -1.61 eV/atom. The energy above the most stable polymorph in this dataset comes out at 168 meV/atom. For the volume, the calculation gives 369 Å³ per cell.

Lattice parameters (Å, degrees): 4.0624 15.0135 6.0549 90.00 90.00 90.00
Last column: nearest neighbours and their distance in Å.
Space group Cmcm (No. 63)
Inequivalent atoms, fractional coordinates:
Ba: 0.0000 0.1479 0.2500 [4 per cell]  6 O 2.68-2.93
Te: 0.0000 0.4092 0.2500 [4 per cell]  6 O 1.87-2.05
O: 0.0000 0.0719 0.7500 [4 per cell]  2 Te 2.05
O: 0.0000 0.3215 0.0295 [8 per cell]  1 Te 1.87
O: 0.0000 0.5000 0.0000 [4 per cell]  2 Te 2.04


[2]
This record from Alexandria describes crystalline BaTeO3 at its relaxed geometry. The functional is PBE-GGA.

Results
The uncorrected formation energy comes out at -1.77 eV/atom. For the volume, the calculation gives 79 Å³ per cell.

Lattice parameters (Å, degrees): 4.2993 4.2993 4.2993 90.00 90.00 90.00
Last column: nearest neighbours and their distance in Å.
Space group Pm-3m (No. 221)
Inequivalent atoms, fractional coordinates:
Ba: 0.0000 0.0000 0.0000 [1 per cell]  12 O 3.04
Te: 0.5000 0.5000 0.5000 [1 per cell]  6 O 2.15
O: 0.0000 0.5000 0.5000 [3 per cell]  2 Te 2.15


> Look up the volume of the first one.

369 Å³ per cell